Computed, not measured: crystalline Pm6Co2PtCl3 at its relaxed geometry at the PBE-GGA level of DFT.

a = 6.9704 Å, b = 6.9704 Å, c = 7.8078 Å
α = 98.47°, β = 98.47°, γ = 120.09°
Element x y z (fractional)
1 Pm 0.7158 0.7158 0.2014
2 Pm 0.0671 0.4174 0.2017
3 Pm 0.4174 0.0671 0.2017
4 Pm 0.2842 0.2842 0.7986
5 Pm 0.5826 0.9329 0.7983
6 Pm 0.9329 0.5826 0.7983
7 Cl 0.8283 0.1717 0.5000
8 Cl 0.5000 0.5000 0.5000
9 Cl 0.1717 0.8283 0.5000
10 Co 0.6665 0.3335 0.0000
11 Co 0.3335 0.6665 0.0000
12 Pt 0.0000 0.0000 0.0000

Computed properties:
M_tot (μB per atom): 0.000
V (A^3/atom): 26.1
Total energy (eV/cell): -66.46